Record 1
Here is a relaxed CaZr2Mn crystal from Alexandria via LeMat-Bulk. Energies are from GGA-PBE.

Computed properties:
The mass density is 4946 kg/m³. As for the raw total energy: -6.587 eV/atom. Its crystal system is monoclinic. Its density of states at the Fermi level is 5.93 states/eV/f.u. The space-group type is C2/m, No. 12. Its formation energy is 0.480 eV/atom. The polymorph energy (0 for the lowest one) is 331 meV per atom.

abc: 6.2464 6.2464 3.1132
angles: 77.91 77.91 121.82
Closest atoms and distances in Å follow each position.
Sites, in units of the cell vectors:
1 Mn 0.0000 0.5000 0.5000  4 Ca 3.04-3.28, 2 Mn 3.11, 4 Zr 3.18
2 Ca 0.5000 0.0000 0.5000  4 Mn 3.04-3.28, 2 Ca 3.11, 4 Zr 3.18
3 Zr 0.0000 0.0000 0.0000  6 Zr 3.04-3.28, 2 Ca 3.18, 2 Mn 3.18
4 Zr 0.5000 0.5000 0.0000  6 Zr 3.04-3.28, 2 Mn 3.18, 2 Ca 3.18


Record 2
Here is a relaxed CaZr2Mn crystal from Alexandria via LeMat-Bulk. Energies are from GGA-PBE.

Computed properties:
The mass density is 4796 kg/m³. As for the raw total energy: -6.841 eV/atom. Its crystal system is tetragonal. Its density of states at the Fermi level is 4.46 states/eV/f.u. The space-group type is P4mm, No. 99. Its formation energy is 0.226 eV/atom. The polymorph energy (0 for the lowest one) is 77 meV per atom.

abc: 3.3380 3.3380 8.6222
angles: 90.00 90.00 90.00
Closest atoms and distances in Å follow each position.
Sites, in units of the cell vectors:
1 Zr 0.0000 0.0000 0.9678  4 Mn 2.79, 4 Zr 3.11
2 Zr 0.5000 0.5000 0.2032  8 Zr 3.11-3.34
3 Mn 0.5000 0.5000 0.7942  4 Zr 2.79
4 Ca 0.0000 0.0000 0.5348  4 Mn 3.25, 4 Ca 3.34


Record 3
Here is a relaxed Ca5Mo3 crystal from Alexandria via LeMat-Bulk. Energies are from GGA-PBE.

Computed properties:
The mass density is 3670 kg/m³. As for the raw total energy: -4.364 eV/atom. Its crystal system is tetragonal. Its density of states at the Fermi level is 6.45 states/eV/f.u. The space-group type is I4/mcm, No. 140. Its formation energy is 0.948 eV/atom. The polymorph energy (0 for the lowest one) is 310 meV per atom.

abc: 9.2580 9.2580 9.2592
angles: 95.43 95.43 144.19
Closest atoms and distances in Å follow each position.
Sites, in units of the cell vectors:
1 Ca 0.0809 0.7822 0.8626  6 Mo 3.19-3.41, 3 Ca 3.48-3.55
2 Ca 0.7821 0.9200 0.7016  6 Mo 3.19-3.41, 3 Ca 3.48-3.55
3 Ca 0.7504 0.2504 0.5004  2 Ca 2.85
4 Ca 0.2504 0.7504 0.5005  2 Ca 2.85
5 Ca 0.2822 0.5809 0.8626  6 Mo 3.19-3.41, 3 Ca 3.48-3.55
6 Ca 0.2186 0.0808 0.2989  6 Mo 3.19-3.41, 3 Ca 3.48-3.55
7 Ca 0.7186 0.4200 0.1382  6 Mo 3.19-3.41, 3 Ca 3.48-3.55
8 Ca 0.9200 0.2186 0.1382  6 Mo 3.19-3.41, 3 Ca 3.48-3.55
9 Ca 0.4200 0.2821 0.7016  6 Mo 3.19-3.41, 3 Ca 3.48-3.55
10 Ca 0.5808 0.7186 0.2989  6 Mo 3.19-3.41, 3 Ca 3.48-3.55
11 Mo 0.2504 0.2505 0.0003  2 Mo 2.85
12 Mo 0.7505 0.7504 0.0003  2 Mo 2.85
13 Mo 0.8320 0.6690 0.5004  10 Ca 3.19-3.41
14 Mo 0.1690 0.3320 0.5004  10 Ca 3.19-3.41
15 Mo 0.3318 0.8318 0.1634  10 Ca 3.19-3.41
16 Mo 0.6690 0.1690 0.8375  10 Ca 3.19-3.41


Record 4
Here is a relaxed CaMo crystal from Alexandria via LeMat-Bulk. Energies are from GGA-PBE.

Computed properties:
The mass density is 5363 kg/m³. As for the raw total energy: -5.426 eV/atom. Its crystal system is hexagonal. Its density of states at the Fermi level is 2.68 states/eV/f.u. The space-group type is P-6m2, No. 187. Its formation energy is 0.991 eV/atom. The polymorph energy (0 for the lowest one) is 630 meV per atom.

abc: 3.0289 3.0289 5.3011
angles: 90.00 90.00 120.00
Closest atoms and distances in Å follow each position.
Sites, in units of the cell vectors:
1 Ca 0.0000 0.0000 0.0000  6 Ca 3.03, 6 Mo 3.18
2 Mo 0.6667 0.3333 0.5000  6 Mo 3.03, 6 Ca 3.18


Record 5
Here is a relaxed CaMo crystal from Alexandria via LeMat-Bulk. Energies are from GGA-PBE.

Computed properties:
The mass density is 5388 kg/m³. As for the raw total energy: -5.446 eV/atom. Its crystal system is trigonal. Its density of states at the Fermi level is 1.65 states/eV/f.u. The space-group type is R-3m, No. 166. Its formation energy is 0.970 eV/atom. The polymorph energy (0 for the lowest one) is 609 meV per atom.

abc: 5.5921 5.5921 5.5921
angles: 31.31 31.31 31.31
Closest atoms and distances in Å follow each position.
Sites, in units of the cell vectors:
1 Mo 0.5000 0.5000 0.5000  6 Mo 3.02, 6 Ca 3.18
2 Ca 0.0000 0.0000 0.0000  6 Ca 3.02, 6 Mo 3.18


Record 6
Here is a relaxed CaMo crystal from Alexandria via LeMat-Bulk. Energies are from GGA-PBE.

Computed properties:
The mass density is 3805 kg/m³. As for the raw total energy: -5.145 eV/atom. Its crystal system is tetragonal. Its density of states at the Fermi level is 2.40 states/eV/f.u. The space-group type is P4_2/mnm, No. 136. Its formation energy is 1.272 eV/atom. The polymorph energy (0 for the lowest one) is 911 meV per atom.

abc: 6.1992 6.1992 6.1790
angles: 90.00 90.00 90.00
Closest atoms and distances in Å follow each position.
Sites, in units of the cell vectors:
1 Ca 0.6797 0.3203 0.0000  4 Mo 3.00-3.13, 1 Ca 3.15
2 Ca 0.3203 0.6797 0.0000  4 Mo 3.00-3.13, 1 Ca 3.15
3 Ca 0.1797 0.1797 0.5000  4 Mo 3.00-3.13, 1 Ca 3.15
4 Ca 0.8203 0.8203 0.5000  4 Mo 3.00-3.13, 1 Ca 3.15
5 Mo 0.8781 0.8781 0.0000  1 Mo 2.14
6 Mo 0.1219 0.1219 0.0000  1 Mo 2.14
7 Mo 0.6219 0.3781 0.5000  1 Mo 2.14
8 Mo 0.3781 0.6219 0.5000  1 Mo 2.14


Record 7
Here is a relaxed CaMo crystal from Alexandria via LeMat-Bulk. Energies are from GGA-PBE.

Computed properties:
The mass density is 3841 kg/m³. As for the raw total energy: -4.526 eV/atom. Its crystal system is cubic. Its density of states at the Fermi level is 0.78 states/eV/f.u. The space-group type is Fm-3m, No. 225. Its formation energy is 1.890 eV/atom. The polymorph energy (0 for the lowest one) is 1529 meV per atom.

abc: 6.1731 6.1731 6.1731
angles: 90.00 90.00 90.00
Closest atoms and distances in Å follow each position.
Sites, in units of the cell vectors:
1 Mo 0.0000 0.5000 0.0000  6 Ca 3.09
2 Mo 0.5000 0.5000 0.5000  6 Ca 3.09
3 Mo 0.5000 0.0000 0.0000  6 Ca 3.09
4 Mo 0.0000 0.0000 0.5000  6 Ca 3.09
5 Ca 0.5000 0.5000 0.0000  6 Mo 3.09
6 Ca 0.0000 0.0000 0.0000  6 Mo 3.09
7 Ca 0.0000 0.5000 0.5000  6 Mo 3.09
8 Ca 0.5000 0.0000 0.5000  6 Mo 3.09


Record 8
Here is a relaxed CaMo crystal from Alexandria via LeMat-Bulk. Energies are from GGA-PBE.

Computed properties:
The mass density is 4514 kg/m³. As for the raw total energy: -6.055 eV/atom. Its crystal system is monoclinic. Its density of states at the Fermi level is 2.29 states/eV/f.u. The space-group type is P2_1/m, No. 11. Its formation energy is 0.361 eV/atom. The polymorph energy (0 for the lowest one) is 0 meV per atom.

abc: 3.3566 3.3429 8.9230
angles: 90.00 91.89 90.00
Closest atoms and distances in Å follow each position.
Sites, in units of the cell vectors:
1 Mo 0.2700 0.2500 0.4357  4 Mo 2.53-2.74
2 Mo 0.7300 0.7500 0.5643  4 Mo 2.53-2.74
3 Ca 0.2359 0.2500 0.8126  5 Mo 3.21-3.37, 4 Ca 3.34-3.36
4 Ca 0.7641 0.7500 0.1874  5 Mo 3.21-3.37, 4 Ca 3.34-3.36


Record 9
Here is a relaxed CaMo crystal from Alexandria via LeMat-Bulk. Energies are from GGA-PBE.

Computed properties:
The mass density is 3141 kg/m³. As for the raw total energy: -5.435 eV/atom. Its crystal system is tetragonal. Its density of states at the Fermi level is 1.89 states/eV/f.u. The space-group type is I4/m, No. 87. Its formation energy is 0.981 eV/atom. The polymorph energy (0 for the lowest one) is 620 meV per atom.

abc: 13.2178 13.2178 3.2930
angles: 90.00 90.00 90.00
Closest atoms and distances in Å follow each position.
Sites, in units of the cell vectors:
1 Ca 0.3078 0.0431 0.5000  4 Mo 3.14-3.22, 2 Ca 3.29
2 Ca 0.1922 0.4569 0.0000  4 Mo 3.14-3.22, 2 Ca 3.29
3 Ca 0.9569 0.3078 0.5000  4 Mo 3.14-3.22, 2 Ca 3.29
4 Ca 0.6922 0.9569 0.5000  4 Mo 3.14-3.22, 2 Ca 3.29
5 Ca 0.5431 0.1922 0.0000  4 Mo 3.14-3.22, 2 Ca 3.29
6 Ca 0.0431 0.6922 0.5000  4 Mo 3.14-3.22, 2 Ca 3.29
7 Ca 0.4569 0.8078 0.0000  4 Mo 3.14-3.22, 2 Ca 3.29
8 Ca 0.8078 0.5431 0.0000  4 Mo 3.14-3.22, 2 Ca 3.29
9 Mo 0.2524 0.6868 0.0000  2 Mo 2.35
10 Mo 0.6868 0.7476 0.0000  2 Mo 2.35
11 Mo 0.1868 0.2476 0.5000  2 Mo 2.35
12 Mo 0.7524 0.1868 0.5000  2 Mo 2.35
13 Mo 0.7476 0.3132 0.0000  2 Mo 2.35
14 Mo 0.2476 0.8132 0.5000  2 Mo 2.35
15 Mo 0.3132 0.2524 0.0000  2 Mo 2.35
16 Mo 0.8132 0.7524 0.5000  2 Mo 2.35


Record 10
Here is a relaxed CaMo crystal from Alexandria via LeMat-Bulk. Energies are from GGA-PBE.

Computed properties:
The mass density is 3751 kg/m³. As for the raw total energy: -5.772 eV/atom. Its crystal system is tetragonal. Its density of states at the Fermi level is 2.36 states/eV/f.u. The space-group type is P4/mmm, No. 123. Its formation energy is 0.644 eV/atom. The polymorph energy (0 for the lowest one) is 283 meV per atom.

abc: 12.0958 12.0958 3.2920
angles: 90.00 90.00 90.00
Closest atoms and distances in Å follow each position.
Sites, in units of the cell vectors:
1 Ca 0.6445 0.0000 0.0000  4 Mo 3.27, 3 Ca 3.29-3.50
2 Ca 0.2755 0.7245 0.5000  6 Mo 2.94-3.26
3 Ca 0.0000 0.3555 0.0000  4 Mo 3.27, 3 Ca 3.29-3.50
4 Ca 0.2755 0.2755 0.5000  6 Mo 2.94-3.26
5 Ca 0.7245 0.2755 0.5000  6 Mo 2.94-3.26
6 Ca 0.3555 0.0000 0.0000  4 Mo 3.27, 3 Ca 3.29-3.50
7 Ca 0.0000 0.6445 0.0000  4 Mo 3.27, 3 Ca 3.29-3.50
8 Ca 0.7245 0.7245 0.5000  6 Mo 2.94-3.26
9 Mo 0.6638 0.5000 0.0000  2 Mo 2.48
10 Mo 0.8169 0.5000 0.5000  2 Mo 2.48
11 Mo 0.3362 0.5000 0.0000  2 Mo 2.48
12 Mo 0.5000 0.6638 0.0000  2 Mo 2.48
13 Mo 0.1831 0.5000 0.5000  2 Mo 2.48
14 Mo 0.5000 0.1831 0.5000  2 Mo 2.48
15 Mo 0.5000 0.3362 0.0000  2 Mo 2.48
16 Mo 0.5000 0.8169 0.5000  2 Mo 2.48


Record 11
Here is a relaxed CaMo crystal from Alexandria via LeMat-Bulk. Energies are from GGA-PBE.

Computed properties:
The mass density is 4686 kg/m³. As for the raw total energy: -5.828 eV/atom. Its crystal system is orthorhombic. Its density of states at the Fermi level is 1.99 states/eV/f.u. The space-group type is Cmme, No. 67. Its formation energy is 0.588 eV/atom. The polymorph energy (0 for the lowest one) is 227 meV per atom.

abc: 3.1963 3.1963 10.2410
angles: 90.00 90.00 112.89
Closest atoms and distances in Å follow each position.
Sites, in units of the cell vectors:
1 Ca 0.5000 0.5000 0.7090  2 Mo 3.12, 4 Ca 3.20
2 Ca 0.0000 0.0000 0.0410  2 Mo 3.12, 4 Ca 3.20
3 Mo 0.0000 0.0000 0.4581  2 Mo 2.45
4 Mo 0.5000 0.5000 0.2919  2 Mo 2.45


Record 12
Here is a relaxed CaMo crystal from Alexandria via LeMat-Bulk. Energies are from GGA-PBE.

Computed properties:
The mass density is 2964 kg/m³. As for the raw total energy: -4.116 eV/atom. Its crystal system is hexagonal. Its density of states at the Fermi level is 3.06 states/eV/f.u. The space-group type is P6_3/mmc, No. 194. Its formation energy is 2.300 eV/atom. The polymorph energy (0 for the lowest one) is 1939 meV per atom.

abc: 5.3730 5.3730 6.0966
angles: 90.00 90.00 120.00
Closest atoms and distances in Å follow each position.
Sites, in units of the cell vectors:
1 Mo 0.3333 0.6667 0.7500  5 Ca 3.05-3.10
2 Mo 0.6667 0.3333 0.2500  5 Ca 3.05-3.10
3 Ca 0.3333 0.6667 0.2500  5 Mo 3.05-3.10
4 Ca 0.6667 0.3333 0.7500  5 Mo 3.05-3.10


Q: Number 2 is which compound?
A: CaZr2Mn


Q: What is the raw total energy in the fourth record?
A: -5.426 eV/atom


Repeat the eighth record exactly.
Here is a relaxed CaMo crystal from Alexandria via LeMat-Bulk. Energies are from GGA-PBE.

Computed properties:
The mass density is 4514 kg/m³. As for the raw total energy: -6.055 eV/atom. Its crystal system is monoclinic. Its density of states at the Fermi level is 2.29 states/eV/f.u. The space-group type is P2_1/m, No. 11. Its formation energy is 0.361 eV/atom. The polymorph energy (0 for the lowest one) is 0 meV per atom.

abc: 3.3566 3.3429 8.9230
angles: 90.00 91.89 90.00
Closest atoms and distances in Å follow each position.
Sites, in units of the cell vectors:
1 Mo 0.2700 0.2500 0.4357  4 Mo 2.53-2.74
2 Mo 0.7300 0.7500 0.5643  4 Mo 2.53-2.74
3 Ca 0.2359 0.2500 0.8126  5 Mo 3.21-3.37, 4 Ca 3.34-3.36
4 Ca 0.7641 0.7500 0.1874  5 Mo 3.21-3.37, 4 Ca 3.34-3.36


Q: What is the polymorph energy (0 for the lowest one) in the third record?
A: 310 meV per atom